No. 1
Computed, not measured: a relaxed structure of LiTb4Dy5 at the GGA-PBE level of DFT.

**Crystal system**: tetragonal
**Energy**: -4.306 eV/atom
**Formation energy from the elements**: 0.386 eV per formula unit

a = 3.5657 Å, b = 3.5657 Å, c = 23.9377 Å
α = 90.00°, β = 90.00°, γ = 90.00°
Fractional positions:
Li: 0.0000 0.0000 0.0000
Tb: 0.0000 0.0000 0.1859
Tb: 0.0000 0.0000 0.3953
Tb: 0.0000 0.0000 0.6047
Tb: 0.0000 0.0000 0.8141
Dy: 0.5000 0.5000 0.0833
Dy: 0.5000 0.5000 0.2907
Dy: 0.5000 0.5000 0.5000
Dy: 0.5000 0.5000 0.7093
Dy: 0.5000 0.5000 0.9167

No. 2
Computed, not measured: a relaxed structure of LiTbDyTc at the GGA-PBE level of DFT.

**Crystal system**: cubic
**Energy**: -5.406 eV/atom
**Formation energy from the elements**: -0.111 eV per formula unit

a = 4.9377 Å, b = 4.9377 Å, c = 4.9377 Å
α = 60.00°, β = 60.00°, γ = 60.00°
Fractional positions:
Li: 0.0000 0.0000 0.0000
Tb: 0.7500 0.7500 0.7500
Tc: 0.5000 0.5000 0.5000
Dy: 0.2500 0.2500 0.2500

No. 3
Computed, not measured: a relaxed structure of LiTbDy2Te4 at the GGA-PBE level of DFT.

**Crystal system**: monoclinic
**Energy**: -4.852 eV/atom

a = 4.3189 Å, b = 7.5313 Å, c = 7.5254 Å
α = 109.19°, β = 90.00°, γ = 90.00°
Fractional positions:
Li: 0.0000 0.0000 0.0000
Tb: 0.5000 0.5000 0.0000
Dy: 0.5000 0.0000 0.5000
Dy: 0.0000 0.5000 0.5000
Te: 0.5000 0.2419 0.2429
Te: 0.5000 0.7581 0.7571
Te: 0.0000 0.2439 0.7540
Te: 0.0000 0.7561 0.2460

No. 4
Computed, not measured: a relaxed structure of Li3TbDy2Te6 at the GGA-PBE level of DFT.

**Crystal system**: monoclinic
**Energy**: -4.496 eV/atom

a = 7.5282 Å, b = 7.5282 Å, c = 7.4981 Å
α = 99.64°, β = 99.64°, γ = 120.00°
Fractional positions:
Li: 0.1662 0.8338 0.5000
Li: 0.8338 0.1662 0.5000
Li: 0.5000 0.5000 0.5000
Tb: 0.0000 0.0000 0.0000
Dy: 0.3333 0.6667 0.0000
Dy: 0.6667 0.3333 0.0000
Te: 0.9148 0.5804 0.7445
Te: 0.7508 0.7508 0.2556
Te: 0.0852 0.4196 0.2555
Te: 0.5804 0.9148 0.7445
Te: 0.2492 0.2492 0.7444
Te: 0.4196 0.0852 0.2555

No. 5
Computed, not measured: a relaxed structure of LiTb2DyTe4 at the GGA-PBE level of DFT.

**Crystal system**: monoclinic
**Energy**: -4.862 eV/atom

a = 4.3233 Å, b = 7.5291 Å, c = 7.5362 Å
α = 109.17°, β = 90.00°, γ = 90.00°
Fractional positions:
Li: 0.0000 0.0000 0.0000
Tb: 0.5000 0.0000 0.5000
Tb: 0.0000 0.5000 0.5000
Dy: 0.5000 0.5000 0.0000
Te: 0.5000 0.2417 0.2407
Te: 0.5000 0.7583 0.7593
Te: 0.0000 0.2453 0.7567
Te: 0.0000 0.7547 0.2433

No. 6
Computed, not measured: a relaxed structure of Li4TbDy3Te8 at the GGA-PBE level of DFT.

**Crystal system**: trigonal
**Energy**: -4.495 eV/atom

a = 8.6932 Å, b = 8.6652 Å, c = 8.6923 Å
α = 120.14°, β = 120.00°, γ = 90.00°
Fractional positions:
Li: 0.5000 0.0000 0.0000
Li: 0.5000 0.0000 0.5000
Li: 0.0000 0.0000 0.0000
Li: 0.0000 0.0000 0.5000
Tb: 0.0000 0.5000 0.0000
Dy: 0.5000 0.5000 0.0000
Dy: 0.5000 0.5000 0.5000
Dy: 0.0000 0.5000 0.5000
Te: 0.2524 0.7556 0.0035
Te: 0.2524 0.7556 0.5049
Te: 0.2482 0.2449 0.4964
Te: 0.7511 0.7556 0.0035
Te: 0.2489 0.2444 0.9965
Te: 0.7518 0.7551 0.5036
Te: 0.7476 0.2444 0.4951
Te: 0.7476 0.2444 0.9965

No. 7
Computed, not measured: a relaxed structure of Li3Tb2DyTe6 at the GGA-PBE level of DFT.

**Crystal system**: monoclinic
**Energy**: -4.500 eV/atom

a = 7.5386 Å, b = 7.5386 Å, c = 7.4963 Å
α = 99.65°, β = 99.65°, γ = 120.00°
Fractional positions:
Li: 0.1667 0.8333 0.5000
Li: 0.8333 0.1667 0.5000
Li: 0.5000 0.5000 0.5000
Tb: 0.3333 0.6667 0.0000
Tb: 0.6667 0.3333 0.0000
Dy: 0.0000 0.0000 0.0000
Te: 0.9147 0.5824 0.7441
Te: 0.7530 0.7530 0.2558
Te: 0.0853 0.4176 0.2559
Te: 0.5824 0.9147 0.7441
Te: 0.2470 0.2470 0.7442
Te: 0.4176 0.0853 0.2559

No. 8
Computed, not measured: a relaxed structure of LiTb2Dy3Te6 at the GGA-PBE level of DFT.

**Crystal system**: monoclinic
**Energy**: -4.966 eV/atom

a = 4.3413 Å, b = 8.6908 Å, c = 9.7253 Å
α = 102.94°, β = 102.90°, γ = 90.00°
Fractional positions:
Li: 0.5000 0.0000 0.0000
Tb: 0.8304 0.6596 0.6608
Tb: 0.1696 0.3404 0.3392
Dy: 0.5000 0.5000 0.0000
Dy: 0.8309 0.1688 0.6618
Dy: 0.1691 0.8312 0.3382
Te: 0.3381 0.9200 0.6763
Te: 0.6646 0.5850 0.3291
Te: 0.6619 0.0800 0.3237
Te: 0.0000 0.2417 0.0000
Te: 0.0000 0.7583 0.0000
Te: 0.3354 0.4150 0.6709

No. 9
Computed, not measured: a relaxed structure of LiTb3Dy2Te6 at the GGA-PBE level of DFT.

**Crystal system**: monoclinic
**Energy**: -4.971 eV/atom

a = 4.3450 Å, b = 8.6954 Å, c = 9.7270 Å
α = 102.99°, β = 102.91°, γ = 90.00°
Fractional positions:
Li: 0.5000 0.0000 0.0000
Tb: 0.5000 0.5000 0.0000
Tb: 0.8313 0.1694 0.6626
Tb: 0.1687 0.8306 0.3374
Dy: 0.8313 0.6611 0.6626
Dy: 0.1687 0.3389 0.3374
Te: 0.3384 0.9186 0.6768
Te: 0.6657 0.5828 0.3313
Te: 0.6616 0.0814 0.3232
Te: 0.0005 0.2406 0.0010
Te: 0.9995 0.7594 0.9990
Te: 0.3343 0.4172 0.6687

No. 10
Computed, not measured: a relaxed structure of LiTbDyTe3 at the GGA-PBE level of DFT.

**Crystal system**: monoclinic
**Energy**: -4.666 eV/atom

a = 4.2151 Å, b = 8.9005 Å, c = 9.4648 Å
α = 103.87°, β = 90.00°, γ = 90.00°
Fractional positions:
Li: 0.2500 0.0853 0.5856
Li: 0.7500 0.9147 0.4144
Tb: 0.2500 0.1864 0.2314
Tb: 0.7500 0.8136 0.7686
Dy: 0.2500 0.6657 0.1621
Dy: 0.7500 0.3343 0.8379
Te: 0.7500 0.9108 0.1229
Te: 0.2500 0.0892 0.8771
Te: 0.2500 0.7654 0.5042
Te: 0.7500 0.2346 0.4958
Te: 0.7500 0.4232 0.1750
Te: 0.2500 0.5768 0.8250

No. 11
Computed, not measured: a relaxed structure of LiTbDyTl at the GGA-PBE level of DFT.

**Crystal system**: cubic
**Energy**: -3.573 eV/atom
**Formation energy from the elements**: -0.779 eV per formula unit

a = 5.2949 Å, b = 5.2949 Å, c = 5.2949 Å
α = 60.00°, β = 60.00°, γ = 60.00°
Fractional positions:
Tl: 0.5000 0.5000 0.5000
Li: 0.0000 0.0000 0.0000
Tb: 0.7500 0.7500 0.7500
Dy: 0.2500 0.2500 0.2500

No. 12
Computed, not measured: a relaxed structure of Li2Tb2DyTl2 at the GGA-PBE level of DFT.

**Crystal system**: trigonal
**Energy**: -3.380 eV/atom
**Formation energy from the elements**: -1.237 eV per formula unit

a = 4.8206 Å, b = 4.8206 Å, c = 9.3863 Å
α = 75.12°, β = 75.12°, γ = 60.00°
Fractional positions:
Li: 0.6044 0.6044 0.1867
Li: 0.3956 0.3956 0.8133
Tb: 0.1267 0.1267 0.6198
Tb: 0.8733 0.8733 0.3802
Dy: 0.0000 0.0000 0.0000
Tl: 0.7372 0.7372 0.7885
Tl: 0.2628 0.2628 0.2115

No. 13
Computed, not measured: a relaxed structure of LiTbDy2Tl4 at the GGA-PBE level of DFT.

**Crystal system**: trigonal
**Energy**: -3.480 eV/atom
**Formation energy from the elements**: -2.627 eV per formula unit

a = 5.2359 Å, b = 5.2359 Å, c = 9.3401 Å
α = 73.72°, β = 73.72°, γ = 60.00°
Fractional positions:
Li: 0.5000 0.5000 0.5000
Tb: 0.0000 0.0000 0.0000
Dy: 0.7546 0.7546 0.7362
Dy: 0.2454 0.2454 0.2638
Tl: 0.3772 0.3772 0.8685
Tl: 0.8727 0.8727 0.3820
Tl: 0.1273 0.1273 0.6180
Tl: 0.6228 0.6228 0.1315

No. 14
Computed, not measured: a relaxed structure of Li2TbDy2Tl2 at the GGA-PBE level of DFT.

**Crystal system**: trigonal
**Energy**: -3.375 eV/atom
**Formation energy from the elements**: -1.231 eV per formula unit

a = 4.8237 Å, b = 4.8237 Å, c = 9.3577 Å
α = 75.06°, β = 75.06°, γ = 60.00°
Fractional positions:
Li: 0.6030 0.6030 0.1911
Li: 0.3970 0.3970 0.8089
Tb: 0.0000 0.0000 0.0000
Dy: 0.1270 0.1270 0.6189
Dy: 0.8730 0.8730 0.3811
Tl: 0.7380 0.7380 0.7859
Tl: 0.2620 0.2620 0.2141

No. 15
Computed, not measured: a relaxed structure of LiTbDyY at the GGA-PBE level of DFT.

**Crystal system**: cubic
**Energy**: -4.225 eV/atom
**Formation energy from the elements**: 0.712 eV per formula unit

a = 5.4891 Å, b = 5.4891 Å, c = 5.4891 Å
α = 60.00°, β = 60.00°, γ = 60.00°
Fractional positions:
Y: 0.7500 0.7500 0.7500
Li: 0.5000 0.5000 0.5000
Tb: 0.2500 0.2500 0.2500
Dy: 0.0000 0.0000 0.0000

No. 16
Computed, not measured: a relaxed structure of LiTbDyZn at the GGA-PBE level of DFT.

**Crystal system**: cubic
**Energy**: -3.222 eV/atom
**Formation energy from the elements**: -0.469 eV per formula unit

a = 5.1097 Å, b = 5.1097 Å, c = 5.1097 Å
α = 60.00°, β = 60.00°, γ = 60.00°
Fractional positions:
Zn: 0.0000 0.0000 0.0000
Li: 0.5000 0.5000 0.5000
Tb: 0.7500 0.7500 0.7500
Dy: 0.2500 0.2500 0.2500

No. 17
Computed, not measured: a relaxed structure of LiDy8Tc2 at the GGA-PBE level of DFT.

**Crystal system**: monoclinic
**Energy**: -5.384 eV/atom
**Formation energy from the elements**: 0.237 eV per formula unit

a = 5.6969 Å, b = 7.7849 Å, c = 7.7849 Å
α = 111.94°, β = 98.40°, γ = 98.40°
Fractional positions:
Li: 0.0002 0.0029 0.0029
Dy: 0.5842 0.3355 0.0706
Dy: 0.5842 0.0706 0.3355
Dy: 0.2038 0.3928 0.3928
Dy: 0.0000 0.2481 0.7588
Dy: 0.0000 0.7588 0.2481
Dy: 0.7957 0.6128 0.6128
Dy: 0.4161 0.9356 0.6709
Dy: 0.4161 0.6709 0.9356
Tc: 0.4996 0.6902 0.3156
Tc: 0.4996 0.3156 0.6902

No. 18
Computed, not measured: a relaxed structure of LiDyTc at the GGA-PBE level of DFT.

**Crystal system**: monoclinic
**Energy**: -5.472 eV/atom
**Formation energy from the elements**: 0.464 eV per formula unit

a = 4.7375 Å, b = 5.5474 Å, c = 5.4224 Å
α = 61.31°, β = 90.00°, γ = 115.28°
Fractional positions:
Dy: 0.1901 0.3802 0.8055
Dy: 0.8099 0.6198 0.1945
Tc: 0.4997 0.9995 0.2399
Tc: 0.5003 0.0005 0.7601
Li: 0.1246 0.2493 0.3684
Li: 0.8754 0.7507 0.6316

No. 19
Computed, not measured: a relaxed structure of LiDyTiTc at the GGA-PBE level of DFT.

**Crystal system**: cubic
**Energy**: -6.216 eV/atom
**Formation energy from the elements**: -0.086 eV per formula unit

a = 4.6554 Å, b = 4.6554 Å, c = 4.6554 Å
α = 60.00°, β = 60.00°, γ = 60.00°
Fractional positions:
Ti: 0.2500 0.2500 0.2500
Li: 0.5000 0.5000 0.5000
Tc: 0.0000 0.0000 0.0000
Dy: 0.7500 0.7500 0.7500

No. 20
Computed, not measured: a relaxed structure of LiDyTmTc at the GGA-PBE level of DFT.

**Crystal system**: cubic
**Energy**: -5.392 eV/atom
**Formation energy from the elements**: -0.213 eV per formula unit

a = 4.8992 Å, b = 4.8992 Å, c = 4.8992 Å
α = 60.00°, β = 60.00°, γ = 60.00°
Fractional positions:
Tm: 0.2500 0.2500 0.2500
Li: 0.0000 0.0000 0.0000
Tc: 0.5000 0.5000 0.5000
Dy: 0.7500 0.7500 0.7500